Material: SrTl2Ni
Method: DFT, GGA-PBE
State: optimized geometry

The structure in POSCAR format:
```
SrTl2Ni
1.0
-1.000 3.961 0.617
-3.836 -0.366 -3.867
-4.905 -1.527 1.848
Ni Sr Tl
1 1 2
Cartesian
-2.685 1.507 -0.196 Ni
-7.056 0.561 -1.206 Sr
-0.611 -0.133 -0.140 Tl
-3.759 -0.814 -0.869 Tl
```

Values from the calculation:
* Fermi-level density of states: 1.9 states/eV per cell
* size of the total moment: 0.0000 μB/atom
* calculated density: 8.21 g/cm³
* space group: Cmmm (65)
* E_form: -0.05 eV/atom

Material: SrTlNi2
Method: DFT, GGA-PBE
State: optimized geometry

The structure in POSCAR format:
```
SrTlNi2
1.0
4.485 -0.053 -0.006
2.292 3.855 -0.006
2.284 1.281 5.210
Ni Sr Tl
2 1 1
Cartesian
2.277 1.278 4.213 Ni
4.536 2.546 3.594 Ni
2.265 1.271 1.299 Sr
6.795 3.813 3.898 Tl
```

Values from the calculation:
* Fermi-level density of states: 3.3 states/eV per cell
* distance to the lowest polymorph of the same formula: 0.14 kcal/mol of atoms
* size of the total moment: 0.0000 μB/atom
* calculated density: 7.49 g/cm³
* space group: C2/m (12)
* E_form: -0.05 eV/atom

Material: Sr2TlNi
Method: DFT, GGA-PBE
State: optimized geometry

The structure in POSCAR format:
```
Sr2TlNi
1.0
4.627 0.000 0.000
0.000 4.629 0.005
0.000 2.314 5.944
Ni Sr Tl
1 2 1
Cartesian
2.314 4.333 4.384 Ni
0.000 6.656 5.436 Sr
2.314 2.027 2.020 Sr
0.000 4.341 3.033 Tl
```

Values from the calculation:
* Fermi-level density of states: 3.3 states/eV per cell
* size of the total moment: 0.0000 μB/atom
* calculated density: 5.72 g/cm³
* space group: Pm (6)
* E_form: -0.13 eV/atom

Material: SrTlNi2
Method: DFT, GGA-PBE
State: optimized geometry

The structure in POSCAR format:
```
SrTlNi2
1.0
-2.596 2.987 -0.929
-3.086 -2.773 -0.293
-2.566 -0.758 4.733
Ni Sr Tl
2 1 1
Cartesian
-0.578 -0.514 -0.037 Ni
-2.110 1.115 0.586 Ni
-2.564 -1.637 1.901 Sr
-5.822 -1.273 3.280 Tl
```

Values from the calculation:
* Fermi-level density of states: 3.2 states/eV per cell
* distance to the lowest polymorph of the same formula: 2.37 kcal/mol of atoms
* size of the total moment: 0.0000 μB/atom
* calculated density: 8.00 g/cm³
* space group: Pm (6)
* E_form: 0.04 eV/atom

Material: SrTlNi2
Method: DFT, GGA-PBE
State: optimized geometry

The structure in POSCAR format:
```
SrTlNi2
1.0
-4.674 1.423 -0.018
-2.888 -1.145 -3.771
-3.560 -3.299 0.563
Ni Sr Tl
2 1 1
Cartesian
0.000 0.000 0.000 Ni
-2.780 -0.755 -0.807 Ni
-5.561 -1.511 -1.613 Sr
-8.341 -2.266 -2.420 Tl
```

Values from the calculation:
* Fermi-level density of states: 4.3 states/eV per cell
* distance to the lowest polymorph of the same formula: 10.42 kcal/mol of atoms
* size of the total moment: 0.0004 μB/atom
* calculated density: 8.24 g/cm³
* space group: F-43m (216)
* E_form: 0.39 eV/atom

Material: Sr2TlNi
Method: DFT, GGA-PBE
State: optimized geometry

The structure in POSCAR format:
```
Sr2TlNi
1.0
-2.914 2.022 -7.768
5.306 -5.715 -3.479
-1.321 -4.360 -5.333
Sr Tl Ni
4 2 2
Cartesian
-1.322 -0.655 -6.181 Sr
2.456 -4.294 -4.920 Sr
0.208 -4.980 -8.415 Sr
0.801 -6.176 -13.643 Sr
0.000 0.000 0.000 Tl
-1.519 -2.092 -9.362 Tl
1.196 -1.846 -5.623 Ni
2.591 -5.961 -7.218 Ni
```

Values from the calculation:
* Fermi-level density of states: 7.6 states/eV per cell
* size of the total moment: 0.0000 μB/atom
* calculated density: 5.59 g/cm³
* space group: I-42d (122)
* E_form: 0.14 eV/atom